The following is a PBE-GGA calculation of a geometry-optimized NiOsAu2 structure, from Alexandria.

Results
Magnetization   0.76 μB per cell
Crystal system   orthorhombic
SG   Pmmm
Electronic total energy   -5.309 eV per atom
E_form   583 meV per atom
Energy above the most stable polymorph in this dataset   1.246 eV per formula unit

Lattice parameters (Å, degrees): 2.7379 4.7603 4.8287 90.00 90.00 90.00
With the nearest neighbours (Å) after each atom.
Fractional coordinates of all 4 atoms:
Au  0.0000  0.0000  0.0000  6 Au 2.74-2.75, 4 Ni 2.78
Au  0.5000  0.5000  0.0000  6 Au 2.74-2.75, 4 Os 2.78
Ni  0.5000  0.0000  0.5000  2 Ni 2.74, 4 Os 2.75, 4 Au 2.78
Os  0.0000  0.5000  0.5000  2 Os 2.74, 4 Ni 2.75, 4 Au 2.78

=====

The following is a PBE-GGA calculation of a geometry-optimized NiOs2Au structure, from Alexandria.

Results
Magnetization   1.05 μB per cell
Crystal system   orthorhombic
SG   Cmm2
Electronic total energy   -7.359 eV per atom
E_form   521 meV per atom
Energy above the most stable polymorph in this dataset   1.113 eV per formula unit

Lattice parameters (Å, degrees): 2.7122 2.7122 9.2931 90.00 90.00 118.82
With the nearest neighbours (Å) after each atom.
Fractional coordinates of all 4 atoms:
Au  0.0000  0.0000  0.5140  2 Ni 2.69, 6 Au 2.71-2.76, 2 Os 2.96
Ni  0.5000  0.5000  0.7622  2 Os 2.54, 2 Au 2.69, 6 Ni 2.71-2.76
Os  0.0000  0.0000  0.9915  2 Ni 2.54, 8 Os 2.63-2.76
Os  0.5000  0.5000  0.2323  8 Os 2.63-2.76

=====

The following is a PBE-GGA calculation of a geometry-optimized NiOsAu2 structure, from Alexandria.

Results
Magnetization   2.00 μB per cell
Crystal system   tetragonal
SG   I-4m2
Electronic total energy   -5.317 eV per atom
E_form   574 meV per atom
Energy above the most stable polymorph in this dataset   1.211 eV per formula unit

Lattice parameters (Å, degrees): 4.8303 4.8303 4.8303 131.54 131.54 70.96
With the nearest neighbours (Å) after each atom.
Fractional coordinates of all 4 atoms:
Au  0.0000  0.0000  0.0000  4 Os 2.79, 4 Au 2.79, 4 Ni 2.80
Au  0.2500  0.7500  0.5000  4 Ni 2.79, 4 Au 2.79, 4 Os 2.80
Ni  0.5000  0.5000  0.0000  4 Os 2.79, 8 Au 2.79-2.80
Os  0.7500  0.2500  0.5000  8 Au 2.79-2.80, 4 Ni 2.79